Entry 1:
Density functional theory data (PBE-GGA) for a relaxed Sc2FeTe crystal.

Summary:
- VASP energy (eV/atom) = -6.36
- E_form (uncorrected) (eV per atom) = -0.292
- calculated volume (Å³/atom) = 21.83
- total magnetic moment (μB per cell) = 1.1
- symmetry = R-3m (166)

Structure (POSCAR):
```
Sc2FeTe
1.0
7.389 0.038 0.023
6.403 3.687 0.023
6.403 1.730 3.256
Fe Sc Te
1 2 1
direct
0.750 0.750 0.750
0.011 0.011 0.011
0.489 0.489 0.489
0.250 0.250 0.250
```

Entry 2:
Density functional theory data (PBE-GGA) for a relaxed Ba2CeCrS6 crystal.

Summary:
- VASP energy (eV/atom) = -5.92
- E_form (uncorrected) (eV per atom) = -1.501
- calculated volume (Å³/atom) = 24.88
- total magnetic moment (μB per cell) = 4.4
- symmetry = P2_1/c (14)

Structure (POSCAR):
```
Ba2CeCrS6
1.0
7.089 0.000 -0.039
0.000 7.037 0.000
0.005 0.000 9.976
Ba Ce Cr S
4 2 2 12
direct
0.004 0.979 0.248
0.504 0.521 0.748
0.996 0.021 0.752
0.496 0.479 0.252
0.500 0.000 0.000
0.000 0.500 0.500
0.500 0.000 0.500
0.000 0.500 0.000
0.254 0.716 0.023
0.754 0.784 0.523
0.746 0.284 0.977
0.246 0.216 0.477
0.285 0.744 0.477
0.785 0.756 0.977
0.715 0.256 0.523
0.215 0.244 0.023
0.955 0.501 0.235
0.455 0.999 0.735
0.045 0.499 0.765
0.545 0.001 0.265
```